# BeHg2, relaxed, DFT PBE-GGA
# Magnetic moment ... 0.0 μB/f.u.
# Offset from the most stable computed form ... 0.026 eV/atom
# Energy of formation ... 0.98 eV per formula unit
# Space-group type ... No. 136
data_BeHg2
_cell_length_a 6.3379
_cell_length_b 6.3379
_cell_length_c 3.1868
_cell_angle_alpha 90.00
_cell_angle_beta 90.00
_cell_angle_gamma 90.00
_symmetry_space_group_name_H-M 'P 1'
_symmetry_Int_Tables_number 1
loop_
_symmetry_equiv_pos_as_xyz
'x,y,z'
loop_
_atom_site_label
_atom_site_type_symbol
_atom_site_fract_x
_atom_site_fract_y
_atom_site_fract_z
Be1 Be 0.0000 0.0000 0.0000
Be2 Be 0.5000 0.5000 0.5000
Hg1 Hg 0.2242 0.2242 0.5000
Hg2 Hg 0.2758 0.7242 0.0000
Hg3 Hg 0.7242 0.2758 0.0000
Hg4 Hg 0.7758 0.7758 0.5000